A relaxed structure of K2BeCuAs2. Source: Alexandria via LeMat-Bulk, functional GGA-PBE.

DOS at the Fermi energy   0.689 states/eV/atom
Mass density   3.60 g cm⁻³
V   555.3 Å³ per cell
DFT total energy   -3.492 eV/atom

Geometry as CIF:
```
data_K2BeCuAs2
_chemical_formula_sum 'K8 Be4 Cu4 As8'
_cell_length_a 5.905
_cell_length_b 16.076
_cell_length_c 5.849
_cell_angle_alpha 90.00
_cell_angle_beta 90.00
_cell_angle_gamma 90.00
_symmetry_space_group_name_H-M 'I b a m'
_symmetry_Int_Tables_number 72
_symmetry_space_group_name_Hall '-I 2 2c'
loop_
_atom_site_label
_atom_site_fract_x
_atom_site_fract_y
_atom_site_fract_z
_atom_site_occupancy
K1 0.238 0.166 0.000 1
Be1 0.000 0.500 0.250 1
Cu1 0.000 0.000 0.250 1
As1 0.231 0.419 0.000 1
```